Th2NiPd | the Alexandria database | PBE | optimized geometry; symmetry = R-3m (166); relative energy among the computed polymorphs = 607 meV per atom; E = -6.414 eV per atom; energy of formation = 0.0392 eV per atom; N(E_F) = 4.56 states/eV/cell
1.0
1.856 1.072 8.916
-1.856 1.072 8.916
0.000 -2.143 8.916
Th Ni Pd
2 1 1
Direct
0.101 0.101 0.101 Th
0.899 0.899 0.899 Th
0.500 0.500 0.500 Ni
0.000 0.000 0.000 Pd